Density functional theory data (PBE-GGA) for a geometry-optimized Ba2NaV structure.

Unit cell a=6.1470 b=6.1470 c=6.1470 alpha=60.00 beta=60.00 gamma=60.00
With the nearest neighbours (Å) after each atom.
Fractional coordinates of all 4 atoms:
Na  0.0000  0.0000  0.0000  8 Ba 3.76
Ba  0.2500  0.2500  0.2500  4 V 3.76, 4 Na 3.76
Ba  0.7500  0.7500  0.7500  4 V 3.76, 4 Na 3.76
V  0.5000  0.5000  0.5000  8 Ba 3.76

Output
- Fermi-level density of states (states/eV/cell) = 3.9
- total magnetization (Bohr magnetons per cell) = 5.216
- E_tot (eV per cell) = -12.1
- formation energy (eV/atom) = 0.539